DFT (PBE) results for an optimized crystal structure of BeHg2Pb.

```
BeHg2Pb
1.0
3.425 -0.130 0.000
-1.714 2.969 0.000
0.000 0.000 9.416
Be Pb Hg
1 1 2
Cartesian
0.856 1.419 7.062
0.856 1.419 2.354
0.000 0.000 8.881
0.000 0.000 5.243
```

Energy of formation = 0.352 eV/atom
Energy above the lowest structure with this stoichiometry = 80 meV/atom
Total magnetic moment = 0.0 μB per formula unit



DFT (PBE) results for an optimized crystal structure of BeHg2Pb.

```
BeHg2Pb
1.0
3.226 0.000 0.000
0.000 3.226 0.000
0.000 0.000 8.410
Hg Be Pb
2 1 1
Cartesian
0.000 0.000 4.762
0.000 0.000 7.853
1.613 1.613 6.308
1.613 1.613 2.103
```

Energy of formation = 0.348 eV/atom
Energy above the lowest structure with this stoichiometry = 76 meV/atom
Total magnetic moment = 0.0 μB per formula unit



DFT (PBE) results for an optimized crystal structure of BeHgPb.

```
BeHgPb
1.0
-3.341 -0.940 5.756
-4.764 -2.889 -0.455
2.507 -3.486 -0.610
Pb Hg Be
2 2 2
Cartesian
-3.047 -2.684 3.115
-2.901 -4.890 0.236
-1.478 -1.703 0.209
-4.392 -5.943 2.869
-5.412 -4.192 4.121
-5.487 -3.890 1.940
```

Energy of formation = 0.315 eV/atom
Total magnetic moment = 0.0 μB per formula unit



DFT (PBE) results for an optimized crystal structure of BeHg3Pb.

```
BeHg3Pb
1.0
6.045 0.000 0.000
0.000 6.045 0.000
0.000 0.000 6.045
Hg Pb Be
3 1 1
Cartesian
3.022 0.000 0.000
0.000 3.022 0.000
0.000 0.000 3.022
0.000 0.000 0.000
3.022 3.022 3.022
```

Energy of formation = 0.811 eV/atom
Energy above the lowest structure with this stoichiometry = 582 meV/atom
Total magnetic moment = 0.0 μB per formula unit



DFT (PBE) results for an optimized crystal structure of BeHg2Pb.

```
BeHg2Pb
1.0
-1.201 -0.090 3.217
-4.073 -1.944 -1.575
2.271 -5.322 0.698
Hg Be Pb
2 1 1
Cartesian
-2.637 -1.017 0.821
0.000 0.000 0.000
-0.901 -3.633 -0.438
0.535 -2.706 1.957
```

Energy of formation = 0.510 eV/atom
Energy above the lowest structure with this stoichiometry = 238 meV/atom
Total magnetic moment = 0.0 μB per formula unit



DFT (PBE) results for an optimized crystal structure of BeHg2Pb.

```
BeHg2Pb
1.0
-0.274 -6.584 -4.034
-1.268 -7.608 -0.444
-3.898 -6.051 -2.807
Be Pb Hg
1 1 2
Cartesian
-4.015 -14.937 -5.376
-2.617 -9.738 -3.504
-0.123 -0.457 -0.165
-1.407 -5.233 -1.883
```

Energy of formation = 0.316 eV/atom
Energy above the lowest structure with this stoichiometry = 44 meV/atom
Total magnetic moment = 0.0 μB per formula unit



DFT (PBE) results for an optimized crystal structure of BeHg2Pb.

```
BeHg2Pb
1.0
0.000 3.609 3.609
3.609 0.000 3.609
3.609 3.609 0.000
Hg Be Pb
2 1 1
Cartesian
1.805 1.805 1.805
5.414 5.414 5.414
0.000 0.000 0.000
3.609 3.609 3.609
```

Energy of formation = 0.569 eV/atom
Energy above the lowest structure with this stoichiometry = 297 meV/atom
Total magnetic moment = 0.0 μB per formula unit



DFT (PBE) results for an optimized crystal structure of BeHg2Pb.

```
BeHg2Pb
1.0
-0.800 3.336 0.584
-3.058 0.232 -5.510
-5.945 -1.106 -1.821
Hg Pb Be
2 1 1
Cartesian
-8.240 -0.802 -6.701
-2.537 1.461 -1.451
-5.251 -0.510 -4.273
-7.279 1.001 -5.315
```

Energy of formation = 0.272 eV/atom
Energy above the lowest structure with this stoichiometry = 0 meV/atom
Total magnetic moment = 0.0 μB per formula unit



DFT (PBE) results for an optimized crystal structure of BeHg2Pb.

```
BeHg2Pb
1.0
-6.862 -0.232 5.480
-7.976 -2.289 2.883
-5.927 -3.599 5.393
Be Hg Pb
1 2 1
Cartesian
-15.574 -4.590 10.317
-9.926 -2.925 6.576
-0.457 -0.135 0.303
-5.191 -1.530 3.439
```

Energy of formation = 0.288 eV/atom
Energy above the lowest structure with this stoichiometry = 16 meV/atom
Total magnetic moment = 0.0 μB per formula unit



DFT (PBE) results for an optimized crystal structure of BeHgPb.

```
BeHgPb
1.0
3.435 -1.983 0.000
0.000 3.966 0.000
0.000 0.000 12.255
Hg Be Pb
2 2 2
Cartesian
0.000 0.000 9.192
0.000 0.000 3.064
2.290 0.000 9.192
1.145 1.983 3.064
0.000 0.000 0.000
0.000 0.000 6.128
```

Energy of formation = 0.741 eV/atom
Total magnetic moment = 0.0 μB per formula unit



DFT (PBE) results for an optimized crystal structure of BeHg2Pb.

```
BeHg2Pb
1.0
5.094 0.000 0.000
0.000 5.094 0.000
2.547 2.547 8.102
Hg Pb Be
4 2 2
Cartesian
1.862 3.820 2.026
6.367 5.778 6.077
3.820 4.409 6.077
3.231 1.273 2.026
5.094 2.547 4.051
0.000 0.000 0.000
2.547 2.547 0.000
2.547 5.094 4.051
```

Energy of formation = 0.433 eV/atom
Energy above the lowest structure with this stoichiometry = 161 meV/atom
Total magnetic moment = 0.0 μB per formula unit



DFT (PBE) results for an optimized crystal structure of BeHg2Pb.

```
BeHg2Pb
1.0
5.765 -0.043 0.026
4.801 3.191 0.026
2.897 0.863 4.938
Hg Pb Be
2 1 1
Cartesian
10.159 3.027 0.306
7.139 2.127 2.240
10.098 3.009 3.742
3.366 1.003 1.247
```

Energy of formation = 0.338 eV/atom
Energy above the lowest structure with this stoichiometry = 66 meV/atom
Total magnetic moment = 0.0 μB per formula unit



Total DFT energy (no corrections), record by record: -6.63 -6.65 -6.79 -4.28 -6.00 -6.77 -5.76 -6.95 -6.89 -5.51 -6.31 -6.69 eV per formula unit